Entry 1:
# K4CaMo PBE relaxed
# * N(E_F): 17.11 states/eV per cell
# * energy of formation: 992 meV per atom
data_K4CaMo
_cell_length_a 10.635
_cell_length_b 10.635
_cell_length_c 10.635
_cell_angle_alpha 90.00
_cell_angle_beta 90.00
_cell_angle_gamma 90.00
_symmetry_space_group_name_H-M 'F -4 3 m'
_symmetry_Int_Tables_number 216
_symmetry_space_group_name_Hall 'F -4 2 3'
loop_
_atom_site_label
_atom_site_type_symbol
_atom_site_fract_x
_atom_site_fract_y
_atom_site_fract_z
_atom_site_occupancy
K1 K 0.124 0.124 0.124 1
Ca1 Ca 0.000 0.000 0.500 1
Mo1 Mo 0.250 0.250 0.750 1

Entry 2:
# NdDy2Hg4 PBE relaxed
# * N(E_F): 14.25 states/eV per cell
# * energy above the lowest structure with this stoichiometry: 2.3 kJ/mol of atoms
# * energy of formation: -302 meV per atom
data_NdDy2Hg4
_cell_length_a 4.9612
_cell_length_b 4.9612
_cell_length_c 26.9747
_cell_angle_alpha 90.00
_cell_angle_beta 90.00
_cell_angle_gamma 120.00
_symmetry_space_group_name_H-M 'R -3 m'
_symmetry_Int_Tables_number 166
_symmetry_space_group_name_Hall '-R 3 2"'
loop_
_atom_site_label
_atom_site_type_symbol
_atom_site_fract_x
_atom_site_fract_y
_atom_site_fract_z
_atom_site_occupancy
Nd1 Nd 0.0000 0.0000 0.0000 1
Dy1 Dy 0.0000 0.0000 0.1245 1
Hg1 Hg 0.0000 0.0000 0.2470 1
Hg2 Hg 0.0000 0.0000 0.3961 1

Entry 3:
# MnCo3 PBE relaxed
# * N(E_F): 18.28 states/eV per cell
# * energy of formation: 85 meV per atom
data_MnCo3
_cell_length_a 2.4728
_cell_length_b 2.4728
_cell_length_c 24.4242
_cell_angle_alpha 90.00
_cell_angle_beta 90.00
_cell_angle_gamma 120.00
_symmetry_space_group_name_H-M 'R -3 m'
_symmetry_Int_Tables_number 166
_symmetry_space_group_name_Hall '-R 3 2"'
loop_
_atom_site_label
_atom_site_type_symbol
_atom_site_fract_x
_atom_site_fract_y
_atom_site_fract_z
_atom_site_occupancy
Mn1 Mn 0.0000 0.0000 0.0000 1
Co1 Co 0.0000 0.0000 0.2504 1
Co2 Co 0.0000 0.0000 0.5000 1

Entry 4:
# BaRu3Pb PBE relaxed
# * N(E_F): 8.75 states/eV per cell
# * energy above the lowest structure with this stoichiometry: 88.2 kJ/mol of atoms
# * energy of formation: 2330 meV per atom
data_BaRu3Pb
_cell_length_a 5.093
_cell_length_b 5.093
_cell_length_c 5.093
_cell_angle_alpha 90.00
_cell_angle_beta 90.00
_cell_angle_gamma 90.00
_symmetry_space_group_name_H-M 'P m -3 m'
_symmetry_Int_Tables_number 221
_symmetry_space_group_name_Hall '-P 4 2 3'
loop_
_atom_site_label
_atom_site_type_symbol
_atom_site_fract_x
_atom_site_fract_y
_atom_site_fract_z
_atom_site_occupancy
Ba1 Ba 0.000 0.000 0.000 1
Ru1 Ru 0.000 0.000 0.500 1
Pb1 Pb 0.500 0.500 0.500 1

Entry 5:
# KGeSbI2 PBE relaxed
# * N(E_F): 6.55 states/eV per cell
# * energy above the lowest structure with this stoichiometry: 87.5 kJ/mol of atoms
# * formation energy (no corrections): 62.96 kJ/mol of atoms
data_KGeSbI2
_cell_length_a 6.321
_cell_length_b 6.321
_cell_length_c 6.486
_cell_angle_alpha 90.00
_cell_angle_beta 90.00
_cell_angle_gamma 90.00
_symmetry_space_group_name_H-M 'P 4/m m m'
_symmetry_Int_Tables_number 123
_symmetry_space_group_name_Hall '-P 4 2'
loop_
_atom_site_label
_atom_site_type_symbol
_atom_site_fract_x
_atom_site_fract_y
_atom_site_fract_z
_atom_site_occupancy
K1 K 0.000 0.000 0.000 1
Ge1 Ge 0.500 0.500 0.500 1
Sb1 Sb 0.000 0.000 0.500 1
I1 I 0.000 0.500 0.000 1

Entry 6:
# K5NaAu4 PBE relaxed
# * N(E_F): 8.38 states/eV per cell
# * energy above the lowest structure with this stoichiometry: 0.0 kJ/mol of atoms
# * energy of formation: -245 meV per atom
data_K5NaAu4
_cell_length_a 20.272
_cell_length_b 4.792
_cell_length_c 8.547
_cell_angle_alpha 90.00
_cell_angle_beta 112.09
_cell_angle_gamma 90.00
_symmetry_space_group_name_H-M 'C 1 2/m 1'
_symmetry_Int_Tables_number 12
_symmetry_space_group_name_Hall '-C 2y'
loop_
_atom_site_label
_atom_site_type_symbol
_atom_site_fract_x
_atom_site_fract_y
_atom_site_fract_z
_atom_site_occupancy
K1 K 0.000 0.000 0.000 1
K2 K 0.145 0.500 0.543 1
K3 K 0.191 0.500 0.097 1
Na1 Na 0.000 0.000 0.500 1
Au1 Au 0.033 0.500 0.747 1
Au2 Au 0.125 0.000 0.815 1

Entry 7:
# Ca2Mg2Te PBE relaxed
# * N(E_F): 7.97 states/eV per cell
# * energy above the lowest structure with this stoichiometry: 13.2 kJ/mol of atoms
# * formation energy (no corrections): -31.24 kJ/mol of atoms
data_Ca2Mg2Te
_cell_length_a 7.895
_cell_length_b 7.895
_cell_length_c 4.915
_cell_angle_alpha 90.00
_cell_angle_beta 90.00
_cell_angle_gamma 90.00
_symmetry_space_group_name_H-M 'P 4/m b m'
_symmetry_Int_Tables_number 127
_symmetry_space_group_name_Hall '-P 4 2ab'
loop_
_atom_site_label
_atom_site_type_symbol
_atom_site_fract_x
_atom_site_fract_y
_atom_site_fract_z
_atom_site_occupancy
Ca1 Ca 0.166 0.334 0.000 1
Mg1 Mg 0.132 0.632 0.500 1
Te1 Te 0.000 0.000 0.500 1

Entry 8:
# MoAs2Se PBE relaxed
# * N(E_F): 3.20 states/eV per cell
# * formation energy (no corrections): 18.18 kJ/mol of atoms
data_MoAs2Se
_cell_length_a 4.335
_cell_length_b 4.585
_cell_length_c 4.504
_cell_angle_alpha 90.00
_cell_angle_beta 114.74
_cell_angle_gamma 90.00
_symmetry_space_group_name_H-M 'P 1 m 1'
_symmetry_Int_Tables_number 6
_symmetry_space_group_name_Hall 'P -2y'
loop_
_atom_site_label
_atom_site_type_symbol
_atom_site_fract_x
_atom_site_fract_y
_atom_site_fract_z
_atom_site_occupancy
Mo1 Mo 0.000 0.000 0.000 1
As1 As 0.624 0.000 0.374 1
As2 As 0.863 0.500 0.181 1
Se1 Se 0.193 0.500 0.790 1